# CeSmPd

A relaxed CeSmPd crystal (PBE-GGA, Alexandria via LeMat-Bulk).

Values from the calculation:
DFT total energy	-5.68	eV/atom
distance to the lowest polymorph of the same formula	0.0	meV per atom
formation energy	-0.40	eV/atom

```
6
Lattice="5.5711 -0.4255 -1.7795 -3.0696 4.7450 1.5765 -2.6134 -1.0658 6.5441" Properties=species:S:1:pos:R:3 pbc="T T T"
Pd -0.4052 0.4262 4.0732
Pd 0.2933 2.8275 2.2680
Sm -3.1190 2.0880 5.9401
Sm 3.0071 1.1658 0.4010
Ce -0.3556 3.3321 5.0150
Ce 0.2437 -0.0784 1.3261
```